A plane-wave DFT calculation with GGA-PBE was carried out for crystalline ScAgPt2 at its relaxed geometry.

abc: 4.141 4.141 3.891
angles: 90.00 90.00 90.00
Atoms (fractional coordinates):
Sc: 0.000 0.000 0.000
Ag: 0.500 0.500 0.000
Pt: 0.000 0.500 0.500
Pt: 0.500 0.000 0.500

Space-group type = P4/mmm (123)
ρ = 13.52 g/cm³
Magnetization = 0.0 μB/f.u.
E_form = -0.81 eV/atom